# 1
Crystalline Pr3Sm2Zn2 at its relaxed geometry, computed with PBE.

abc: 3.716 31.009 3.656
angles: 90.00 90.00 90.00
Space group Cmmm (No. 65)
One atom of each set of equivalent atoms:
Pr1 0.000 0.000 0.000 [2 per cell]
Pr2 0.000 0.413 0.500 [4 per cell]
Sm1 0.000 0.299 0.500 [4 per cell]
Zn1 0.000 0.147 0.000 [4 per cell]

## Properties
As for the crystal system: orthorhombic. Its distance to the lowest polymorph of the same formula is 11 meV per atom.

# 2
Crystalline Pr2SmZn at its relaxed geometry, computed with PBE.

abc: 3.706 3.706 8.868
angles: 90.00 90.00 90.00
Space group P4/mmm (No. 123)
One atom of each set of equivalent atoms:
Pr1 0.000 0.000 0.209 [2 per cell]
Sm1 0.500 0.500 0.500 [1 per cell]
Zn1 0.500 0.500 0.000 [1 per cell]

## Properties
As for the crystal system: tetragonal. Its distance to the lowest polymorph of the same formula is 0 meV per atom.

# 3
Crystalline Pr7SmZn4 at its relaxed geometry, computed with PBE.

abc: 14.171 5.727 10.410
angles: 90.00 123.66 90.00
Space group C2/m (No. 12)
One atom of each set of equivalent atoms:
Pr1 0.000 0.000 0.000 [2 per cell]
Pr2 0.068 0.500 0.394 [4 per cell]
Pr3 0.206 0.500 0.878 [4 per cell]
Pr4 0.213 0.000 0.656 [4 per cell]
Sm1 0.000 0.500 0.000 [2 per cell]
Zn1 0.046 0.000 0.751 [4 per cell]
Zn2 0.177 0.000 0.336 [4 per cell]

## Properties
As for the crystal system: monoclinic. The value obtained for the total energy is -3.625 eV/atom.

# 4
Crystalline Pr5SmZn4 at its relaxed geometry, computed with PBE.

abc: 3.710 3.710 20.015
angles: 90.00 90.00 90.00
Space group P4/mmm (No. 123)
One atom of each set of equivalent atoms:
Pr1 0.000 0.000 0.000 [1 per cell]
Pr2 0.000 0.000 0.185 [2 per cell]
Pr3 0.000 0.000 0.370 [2 per cell]
Sm1 0.500 0.500 0.500 [1 per cell]
Zn1 0.500 0.500 0.093 [2 per cell]
Zn2 0.500 0.500 0.279 [2 per cell]

## Properties
As for the crystal system: tetragonal. The value obtained for the total energy is -3.608 eV/atom.